Entry 1:
Below is a relaxed structure of Rb2NiPbCl6, with properties calculated at the GGA-PBE level.

a = 10.4471 Å, b = 10.4471 Å, c = 10.4471 Å
α = 90.00°, β = 90.00°, γ = 90.00°
With the nearest neighbours (Å) after each atom.
Space group Fm-3m (No. 225)
One atom of each set of equivalent atoms:
1 Rb 0.2500 0.2500 0.2500 x8  12 Cl 3.70
2 Ni 0.0000 0.0000 0.0000 x4  6 Cl 2.41
3 Pb 0.0000 0.0000 0.5000 x4  6 Cl 2.82
4 Cl 0.0000 0.0000 0.2302 x24  1 Ni 2.41

Summary:
Electronic total energy (eV/cell): -140.73


Entry 2:
Below is a relaxed structure of Tl2NiPdCl6, with properties calculated at the GGA-PBE level.

a = 9.7165 Å, b = 9.7165 Å, c = 9.7165 Å
α = 90.00°, β = 90.00°, γ = 90.00°
With the nearest neighbours (Å) after each atom.
Space group Fm-3m (No. 225)
One atom of each set of equivalent atoms:
1 Tl 0.2500 0.2500 0.2500 x8  12 Cl 3.44
2 Ni 0.0000 0.0000 0.0000 x4  6 Cl 2.36
3 Pd 0.0000 0.0000 0.5000 x4  6 Cl 2.50
4 Cl 0.0000 0.0000 0.2432 x24  1 Ni 2.36, 1 Pd 2.50

Summary:
Electronic total energy (eV/cell): -133.62


Entry 3:
Below is a relaxed structure of PmNiCl, with properties calculated at the GGA-PBE level.

a = 4.0305 Å, b = 4.0305 Å, c = 32.2764 Å
α = 90.00°, β = 90.00°, γ = 120.00°
With the nearest neighbours (Å) after each atom.
Space group R-3m (No. 166, hexagonal axes)
One atom of each set of equivalent atoms:
1 Pm 0.0000 0.0000 0.0591 x6  6 Ni 2.89-3.14, 3 Cl 2.90
2 Ni 0.0000 0.0000 0.3394 x6  3 Ni 2.36
3 Cl 0.0000 0.0000 0.2204 x6  3 Pm 2.90

Summary:
Electronic total energy (eV/cell): -95.10


Entry 4:
Below is a relaxed structure of Pr4NiCl5, with properties calculated at the GGA-PBE level.

a = 18.5237 Å, b = 3.9984 Å, c = 8.4694 Å
α = 90.00°, β = 106.50°, γ = 90.00°
With the nearest neighbours (Å) after each atom.
Space group C2/m (No. 12)
One atom of each set of equivalent atoms:
1 Pr 0.0023 0.0000 0.2758 x4  2 Ni 2.77, 4 Cl 2.97-3.07
2 Pr 0.1567 0.5000 0.6106 x4  1 Ni 2.78, 4 Cl 2.86-2.95
3 Ni 0.0000 0.5000 0.5000 x2  6 Pr 2.77-2.78
4 Cl 0.0000 0.5000 0.0000 x2  4 Pr 3.07
5 Cl 0.1642 0.0000 0.8570 x4  3 Pr 2.86-2.97
6 Cl 0.1721 0.0000 0.3664 x4  4 Pr 2.95-3.12

Summary:
Electronic total energy (eV/cell): -99.81


Entry 5:
Below is a relaxed structure of Pr4NiCl5, with properties calculated at the GGA-PBE level.

a = 18.4115 Å, b = 3.9871 Å, c = 8.5365 Å
α = 90.00°, β = 103.80°, γ = 90.00°
With the nearest neighbours (Å) after each atom.
Space group C2/m (No. 12)
One atom of each set of equivalent atoms:
1 Pr 0.0006 0.0000 0.2255 x4  2 Ni 2.77, 4 Cl 2.95-3.08
2 Pr 0.1570 0.5000 0.0866 x4  1 Ni 2.81, 5 Cl 2.86-3.09
3 Ni 0.0000 0.5000 0.0000 x2  6 Pr 2.77-2.81
4 Cl 0.0000 0.5000 0.5000 x2  4 Pr 3.08
5 Cl 0.1654 0.0000 0.3313 x4  3 Pr 2.86-2.95
6 Cl 0.1706 0.0000 0.8422 x4  4 Pr 2.94-3.09

Summary:
Electronic total energy (eV/cell): -99.77


Entry 6:
Below is a relaxed structure of Rb2NiPtCl6, with properties calculated at the GGA-PBE level.

a = 9.7759 Å, b = 9.7759 Å, c = 9.7759 Å
α = 90.00°, β = 90.00°, γ = 90.00°
With the nearest neighbours (Å) after each atom.
Space group Fm-3m (No. 225)
One atom of each set of equivalent atoms:
1 Rb 0.2500 0.2500 0.2500 x8  12 Cl 3.46
2 Ni 0.0000 0.0000 0.0000 x4  6 Cl 2.41
3 Pt 0.0000 0.0000 0.5000 x4  6 Cl 2.48
4 Cl 0.0000 0.0000 0.2462 x24  1 Ni 2.41, 1 Pt 2.48

Summary:
Electronic total energy (eV/cell): -139.03


Entry 7:
Below is a relaxed structure of Tl2NiPtCl6, with properties calculated at the GGA-PBE level.

a = 9.7264 Å, b = 9.7264 Å, c = 9.7264 Å
α = 90.00°, β = 90.00°, γ = 90.00°
With the nearest neighbours (Å) after each atom.
Space group Fm-3m (No. 225)
One atom of each set of equivalent atoms:
1 Tl 0.2500 0.2500 0.2500 x8  12 Cl 3.44
2 Ni 0.0000 0.0000 0.0000 x4  6 Cl 2.39
3 Pt 0.0000 0.0000 0.5000 x4  6 Cl 2.47
4 Cl 0.0000 0.0000 0.2460 x24  1 Ni 2.39, 1 Pt 2.47

Summary:
Electronic total energy (eV/cell): -134.35


Entry 8:
Below is a relaxed structure of Rb3NiCl6, with properties calculated at the GGA-PBE level.

a = 10.6250 Å, b = 10.6250 Å, c = 10.6250 Å
α = 90.00°, β = 90.00°, γ = 90.00°
With the nearest neighbours (Å) after each atom.
Space group Fm-3m (No. 225)
One atom of each set of equivalent atoms:
1 Rb 0.0000 0.0000 0.0000 x4  6 Cl 3.01
2 Rb 0.2500 0.2500 0.2500 x8  12 Cl 3.77
3 Ni 0.0000 0.0000 0.5000 x4  6 Cl 2.30
4 Cl 0.0000 0.0000 0.2833 x24  1 Ni 2.30

Summary:
Electronic total energy (eV/cell): -130.91


Entry 9:
Below is a relaxed structure of RbNiCl3, with properties calculated at the GGA-PBE level.

a = 6.9863 Å, b = 6.9863 Å, c = 5.8873 Å
α = 90.00°, β = 90.00°, γ = 120.00°
With the nearest neighbours (Å) after each atom.
Space group P6_3/mmc (No. 194)
One atom of each set of equivalent atoms:
1 Rb 0.3333 0.6667 0.2500 x2  12 Cl 3.49-3.63
2 Ni 0.0000 0.0000 0.0000 x2  6 Cl 2.41
3 Cl 0.1576 0.3153 0.7500 x6  2 Ni 2.41

Summary:
Electronic total energy (eV/cell): -35.78


Entry 10:
Below is a relaxed structure of RbNiCl3, with properties calculated at the GGA-PBE level.

a = 7.0181 Å, b = 7.0181 Å, c = 5.8321 Å
α = 90.00°, β = 90.00°, γ = 120.00°
With the nearest neighbours (Å) after each atom.
Space group P6_3/mmc (No. 194)
One atom of each set of equivalent atoms:
1 Rb 0.3333 0.6667 0.2500 x2  12 Cl 3.51-3.62
2 Ni 0.0000 0.0000 0.0000 x2  6 Cl 2.40
3 Cl 0.1571 0.3143 0.7500 x6  2 Ni 2.40

Summary:
Electronic total energy (eV/cell): -35.77


Entry 11:
Below is a relaxed structure of Rb2ScNiCl6, with properties calculated at the GGA-PBE level.

a = 9.9857 Å, b = 9.9857 Å, c = 9.9857 Å
α = 90.00°, β = 90.00°, γ = 90.00°
With the nearest neighbours (Å) after each atom.
Space group Fm-3m (No. 225)
One atom of each set of equivalent atoms:
1 Rb 0.2500 0.2500 0.2500 x8  12 Cl 3.53
2 Sc 0.0000 0.0000 0.0000 x4  6 Cl 2.50
3 Ni 0.0000 0.0000 0.5000 x4  6 Cl 2.49
4 Cl 0.0000 0.0000 0.2507 x24  1 Ni 2.49, 1 Sc 2.50

Summary:
Electronic total energy (eV/cell): -165.14


Entry 12:
Below is a relaxed structure of Rb2TcNiCl6, with properties calculated at the GGA-PBE level.

a = 9.9208 Å, b = 9.9208 Å, c = 9.9208 Å
α = 90.00°, β = 90.00°, γ = 90.00°
With the nearest neighbours (Å) after each atom.
Space group Fm-3m (No. 225)
One atom of each set of equivalent atoms:
1 Rb 0.2500 0.2500 0.2500 x8  12 Cl 3.51
2 Tc 0.0000 0.0000 0.0000 x4  6 Cl 2.52
3 Ni 0.0000 0.0000 0.5000 x4  6 Cl 2.44
4 Cl 0.0000 0.0000 0.2540 x24  1 Ni 2.44, 1 Tc 2.52

Summary:
Electronic total energy (eV/cell): -157.54